Entry 1:
ZrTi2Nb2 (PBE-GGA, optimized geometry); symmetry = No. 127; electronic total energy = -8.74 eV per atom; Fermi-level density of states = 0.444 states/eV/atom; formation energy = 0.155 eV per atom; size of the total moment = 0.000 Bohr magnetons per cell
1.0
7.448 0.000 0.000
0.000 7.448 0.000
0.000 0.000 3.450
Zr Ti Nb
2 4 4
Direct
0.000 0.000 0.000
0.500 0.500 0.000
0.128 0.372 0.000
0.372 0.872 0.000
0.628 0.128 0.000
0.872 0.628 0.000
0.167 0.667 0.500
0.333 0.167 0.500
0.667 0.833 0.500
0.833 0.333 0.500

Entry 2:
Cs2AsPb (PBE-GGA, optimized geometry); symmetry = No. 14; electronic total energy = -2.73 eV per atom; Fermi-level density of states = 0.549 states/eV/atom; formation energy = -0.219 eV per atom; size of the total moment = 0.000 Bohr magnetons per cell
1.0
12.568 0.000 0.000
0.000 9.025 0.000
-0.571 0.000 7.667
Cs As Pb
8 4 4
Direct
0.144 0.058 0.268
0.144 0.442 0.768
0.306 0.564 0.307
0.306 0.936 0.807
0.694 0.064 0.193
0.694 0.436 0.693
0.856 0.558 0.232
0.856 0.942 0.732
0.422 0.591 0.762
0.422 0.909 0.262
0.578 0.091 0.738
0.578 0.409 0.238
0.446 0.198 0.443
0.446 0.302 0.943
0.554 0.698 0.057
0.554 0.802 0.557

Entry 3:
Si2SbSF (PBE-GGA, optimized geometry); symmetry = No. 123; electronic total energy = -3.94 eV per atom; Fermi-level density of states = 0.419 states/eV/atom; size of the total moment = 0.000 Bohr magnetons per cell
1.0
4.188 0.000 0.000
0.000 4.188 0.000
0.000 0.000 5.497
Si Sb S F
2 1 1 1
Direct
0.000 0.500 0.000
0.500 0.000 0.000
0.000 0.000 0.500
0.500 0.500 0.500
0.500 0.500 0.000

Entry 4:
PaReGe (PBE-GGA, optimized geometry); symmetry = No. 166; electronic total energy = -8.85 eV per atom; Fermi-level density of states = 1.008 states/eV/atom; formation energy = 0.008 eV per atom; size of the total moment = 0.000 Bohr magnetons per cell
1.0
2.311 1.334 6.481
-2.311 1.334 6.481
0.000 -2.669 6.481
Pa Re Ge
2 2 2
Direct
0.133 0.133 0.133
0.867 0.867 0.867
0.423 0.423 0.423
0.577 0.577 0.577
0.292 0.292 0.292
0.708 0.708 0.708